No. 1
A relaxed TlTe3AsPb crystal. Source: Alexandria, functional GGA-PBE.

E_form (uncorrected) = -14.7 kJ per mole of atoms
Magnetic moment = 0.0 μB/cell
Calculated volume = 35.927 Å³/atom
Mass density = 6.70 g/cm³

Cell lengths 5.0175, 8.8107, 10.1492 Å; angles 106.07, 90.00, 90.00 degrees
Last column: nearest neighbours and their distance in Å.
Atoms (fractional coordinates):
Tl  0.7500  0.7591  0.7544  7 Te 3.49-3.88
Te  0.2500  0.0540  0.8751  1 As 2.69
Te  0.2500  0.4998  0.7924  3 Pb 3.10-3.30, 1 As 3.32
As  0.2500  0.1170  0.6301  4 Te 2.69-2.88
Tl  0.2500  0.2409  0.2456  7 Te 3.49-3.88
Pb  0.2500  0.6792  0.1022  5 Te 3.10-3.40
As  0.7500  0.8830  0.3699  4 Te 2.69-2.88
Te  0.7500  0.5002  0.2076  3 Pb 3.10-3.30, 1 As 3.32
Te  0.7500  0.1906  0.5216  3 As 2.72-2.88
Te  0.7500  0.9460  0.1249  1 As 2.69
Pb  0.7500  0.3208  0.8978  5 Te 3.10-3.40
Te  0.2500  0.8094  0.4784  3 As 2.72-2.88

---

No. 2
A relaxed CuPd2Pt crystal. Source: Alexandria, functional GGA-PBE.

Magnetic moment = 0.0 μB/cell
Calculated volume = 16.024 Å³/atom
Polymorph energy (0 for the lowest one) = 1.38 eV/f.u.
Mass density = 12.21 g/cm³

Cell lengths 3.7339, 3.7339, 9.5661 Å; angles 78.75, 78.75, 90.00 degrees
Last column: nearest neighbours and their distance in Å.
Atoms (fractional coordinates):
Cu  0.2500  0.7500  0.5000  4 Pt 2.64, 4 Pd 2.65
Pd  0.8750  0.8736  0.7500  4 Pd 2.63-2.65, 2 Cu 2.65, 2 Pt 2.65
Pt  0.0000  0.0000  0.0000  4 Cu 2.64, 4 Pd 2.65
Cu  0.5000  0.5000  0.0000  4 Pt 2.64, 4 Pd 2.65
Pt  0.7500  0.2500  0.5000  4 Cu 2.64, 4 Pd 2.65
Pd  0.1264  0.6250  0.2500  4 Pd 2.63-2.65, 2 Cu 2.65, 2 Pt 2.65
Pd  0.3750  0.3764  0.7500  4 Pd 2.63-2.65, 2 Cu 2.65, 2 Pt 2.65
Pd  0.6236  0.1250  0.2500  4 Pd 2.63-2.65, 2 Cu 2.65, 2 Pt 2.65

---

No. 3
A relaxed PaCuPd2O8 crystal. Source: Alexandria, functional GGA-PBE.

E_form (uncorrected) = -84.9 kJ per mole of atoms
Magnetic moment = 0.0 μB/cell
Calculated volume = 13.260 Å³/atom
Mass density = 6.63 g/cm³

Cell lengths 5.9126, 5.9126, 5.9126 Å; angles 109.58, 109.58, 109.26 degrees
Last column: nearest neighbours and their distance in Å.
Atoms (fractional coordinates):
Pd  0.7500  0.2500  0.5000  4 O 1.96
Pd  0.5000  0.5000  0.0000  4 O 1.91
O  0.9672  0.6544  0.6872  1 Pd 1.96, 1 Cu 2.14
O  0.5383  0.7160  0.8223  1 Pd 1.91
O  0.7200  0.0328  0.6872  1 Pd 1.96, 1 Cu 2.14
O  0.2840  0.1062  0.8223  1 Pd 1.91
Cu  0.0000  0.0000  0.0000  8 O 2.14-2.29
Pa  0.2500  0.7500  0.5000  8 O 2.21-2.32
O  0.8938  0.7160  0.1777  1 Pd 1.91
O  0.3456  0.0328  0.3128  1 Pd 1.96, 1 Cu 2.14
O  0.2840  0.4617  0.1777  1 Pd 1.91
O  0.9672  0.2800  0.3128  1 Pd 1.96, 1 Cu 2.14

---

What is the mass density in the second record? 12.21 g/cm³

---

Among the records above, which one has the lowest calculated volume? PaCuPd2O8

---

Please write out number 2 again, unchanged.
A relaxed CuPd2Pt crystal. Source: Alexandria, functional GGA-PBE.

Magnetic moment = 0.0 μB/cell
Calculated volume = 16.024 Å³/atom
Polymorph energy (0 for the lowest one) = 1.38 eV/f.u.
Mass density = 12.21 g/cm³

Cell lengths 3.7339, 3.7339, 9.5661 Å; angles 78.75, 78.75, 90.00 degrees
Last column: nearest neighbours and their distance in Å.
Atoms (fractional coordinates):
Cu  0.2500  0.7500  0.5000  4 Pt 2.64, 4 Pd 2.65
Pd  0.8750  0.8736  0.7500  4 Pd 2.63-2.65, 2 Cu 2.65, 2 Pt 2.65
Pt  0.0000  0.0000  0.0000  4 Cu 2.64, 4 Pd 2.65
Cu  0.5000  0.5000  0.0000  4 Pt 2.64, 4 Pd 2.65
Pt  0.7500  0.2500  0.5000  4 Cu 2.64, 4 Pd 2.65
Pd  0.1264  0.6250  0.2500  4 Pd 2.63-2.65, 2 Cu 2.65, 2 Pt 2.65
Pd  0.3750  0.3764  0.7500  4 Pd 2.63-2.65, 2 Cu 2.65, 2 Pt 2.65
Pd  0.6236  0.1250  0.2500  4 Pd 2.63-2.65, 2 Cu 2.65, 2 Pt 2.65